Compound: RbZr3Hg
Source: Alexandria
Functional: PBE-GGA
Structure: relaxed

Unit cell a=5.486 b=5.486 c=5.486 alpha=90.00 beta=90.00 gamma=90.00
Site moments in Bohr magnetons follow the coordinates.
Fractional coordinates of all 5 atoms:
Zr: 0.000 0.500 0.000  0.17
Hg: 0.000 0.000 0.000  0.02
Rb: 0.500 0.500 0.500  0.02
Zr: 0.000 0.000 0.500  0.12
Zr: 0.500 0.000 0.000  0.23

Values from the calculation:
SG	No. 221
density	5.63	g/cm³
calculated volume	165.1	Å³/cell
excess energy over the best structure of this formula in the dataset	0	meV/atom
energy	-21.1	eV/cell

=====

Compound: NaMgTlCd
Source: Alexandria
Functional: PBE-GGA
Structure: relaxed

Unit cell a=5.190 b=5.190 c=5.190 alpha=60.00 beta=60.00 gamma=60.00
Fractional coordinates of all 4 atoms:
Tl: 0.250 0.250 0.250
Cd: 0.750 0.750 0.750
Na: 0.000 0.000 0.000
Mg: 0.500 0.500 0.500

Values from the calculation:
SG	No. 216
density	6.12	g/cm³
calculated volume	98.9	Å³/cell
excess energy over the best structure of this formula in the dataset	27	meV/atom
energy	-6.5	eV/cell

=====

Compound: Tm2CuGe2O8
Source: Alexandria
Functional: PBE-GGA
Structure: relaxed

Unit cell a=8.856 b=8.856 c=5.145 alpha=74.20 beta=74.20 gamma=115.36
Site moments in Bohr magnetons follow the coordinates.
Fractional coordinates of all 26 atoms:
O: 0.266 0.749 0.444  0.07
O: 0.566 0.749 0.251  0.00
O: 0.338 0.338 0.646  0.00
O: 0.014 0.351 0.931  0.10
O: 0.489 0.489 0.970  0.00
O: 0.749 0.266 0.444  0.07
O: 0.351 0.014 0.931  0.10
Tm: 0.808 0.049 0.331  0.00
Ge: 0.149 0.149 0.645  0.00
O: 0.040 0.228 0.449  0.10
Ge: 0.661 0.661 0.020  0.00
Cu: 0.338 0.924 0.632  0.58
O: 0.101 0.638 0.072  0.00
O: 0.228 0.040 0.449  0.10
Cu: 0.924 0.338 0.632  0.58
O: 0.993 0.993 0.035  0.00
O: 0.844 0.504 0.752  0.08
Tm: 0.553 0.315 0.770  0.00
O: 0.749 0.566 0.251  0.00
Tm: 0.315 0.553 0.770  0.00
Ge: 0.472 0.895 0.078  0.00
O: 0.504 0.844 0.752  0.08
O: 0.638 0.101 0.072  0.00
O: 0.832 0.832 0.649  0.01
Tm: 0.049 0.808 0.331  0.00
Ge: 0.895 0.472 0.078  0.00

Values from the calculation:
ΔE_f (raw)	-2.294	eV per atom
SG	No. 8
density	7.14	g/cm³
calculated volume	313.9	Å³/cell
energy	-183.5	eV/cell

=====

Compound: TbY5Mg
Source: Alexandria
Functional: PBE-GGA
Structure: relaxed

Unit cell a=6.757 b=6.757 c=14.524 alpha=57.72 beta=57.72 gamma=58.12
Fractional coordinates of all 14 atoms:
Tb: 0.000 0.000 0.500
Y: 0.301 0.317 0.711
Y: 0.317 0.301 0.211
Y: 0.313 0.310 0.982
Y: 0.690 0.687 0.518
Y: 0.193 0.807 0.250
Y: 0.687 0.690 0.018
Mg: 0.245 0.755 0.750
Y: 0.807 0.193 0.750
Y: 0.699 0.683 0.289
Tb: 0.000 0.000 0.000
Y: 0.683 0.699 0.789
Mg: 0.755 0.245 0.250
Y: 0.310 0.313 0.482

Values from the calculation:
SG	No. 15
density	4.68	g/cm³
calculated volume	445.7	Å³/cell
excess energy over the best structure of this formula in the dataset	153	meV/atom
energy	-74.9	eV/cell

=====

> Which formula does entry 3 have?

Tm2CuGe2O8

=====

> The lowest density belongs to which entry?

TbY5Mg

=====

> energy of number 3 (Tm2CuGe2O8)?

-183.5 eV/cell

=====

> What is the calculated volume in the third record?

313.9 Å³/cell